8
Lattice="4.0602 0.0000 0.0000 0.0000 4.0602 0.0000 0.0000 0.0000 9.4117" Properties=species:S:1:pos:R:3 comment="SrMgP2Pt4, relaxed, DFT GGA-PBE" space_group="P4/mmm, No. 123" formation_energy_ev_per_atom=-0.730 n_ef_per_ev_cell=3.90 e_tot_ev_per_atom=-5.5121 magmom_total_mub_per_cell=0.00 pbc="T T T"
Sr 0.0000 0.0000 4.7058
Mg 0.0000 0.0000 0.0000
P 2.0301 2.0301 3.0140
P 2.0301 2.0301 6.3977
Pt 0.0000 2.0301 1.8555
Pt 2.0301 0.0000 7.5562
Pt 2.0301 0.0000 1.8555
Pt 0.0000 2.0301 7.5562